(1)
Here is a relaxed MgPtNF2 crystal from Alexandria. Energies are from PBE.

Calculated values
Size of the total moment in μB/atom: 0.00
Raw formation energy in eV per atom: -0.448
E above lowest polymorph in kJ/mol of atoms: 23.31
Mass density in Mg/m³: 5.70
Density of states at the Fermi level in states/eV/atom: 0.433

Cell: 4.6400 4.6400 3.6743 Å, 90.00 90.00 90.00°
Last column: nearest neighbours and their distance in Å.
Sites, in units of the cell vectors:
Mg 0.5000 0.5000 0.5000  8 F 2.96, 4 N 3.28
N 0.0000 0.0000 0.5000  2 Pt 1.84
Pt 0.0000 0.0000 0.0000  2 N 1.84
F 0.0000 0.5000 0.0000  2 Pt 2.32
F 0.5000 0.0000 0.0000  2 Pt 2.32

---

(2)
Here is a relaxed Pr2CuBi4 crystal from Alexandria. Energies are from PBE.

Calculated values
Size of the total moment in μB/atom: 0.00
E_form in eV/atom: -0.56
Mass density in Mg/m³: 9.44
Density of states at the Fermi level in states/eV/atom: 0.397

Cell: 4.6075 4.6075 9.7850 Å, 90.00 90.00 90.00°
Last column: nearest neighbours and their distance in Å.
Sites, in units of the cell vectors:
Pr 0.5000 0.0000 0.7690  2 Cu 3.23, 8 Bi 3.37-3.50
Pr 0.0000 0.5000 0.2310  2 Cu 3.23, 8 Bi 3.37-3.50
Cu 0.5000 0.5000 0.0000  4 Bi 2.70
Bi 0.5000 0.0000 0.1446  2 Cu 2.70
Bi 0.0000 0.5000 0.8554  2 Cu 2.70
Bi 0.5000 0.5000 0.5000  4 Bi 3.26, 4 Pr 3.50
Bi 0.0000 0.0000 0.5000  4 Bi 3.26, 4 Pr 3.50

---

(3)
Here is a relaxed Nb2ReTeF crystal from Alexandria. Energies are from PBE.

Calculated values
Size of the total moment in μB/atom: 0.00
Raw formation energy in eV per atom: 0.399
Mass density in Mg/m³: 9.94
Density of states at the Fermi level in states/eV/atom: 1.292

Cell: 4.1797 4.9609 4.1797 Å, 90.00 90.00 90.00°
Last column: nearest neighbours and their distance in Å.
Sites, in units of the cell vectors:
Re 0.5000 0.5000 0.5000  4 Te 2.96, 8 Nb 3.24
Nb 0.0000 0.0000 0.5000  2 F 2.09
Nb 0.5000 0.0000 0.0000  2 F 2.09
Te 0.0000 0.5000 0.0000  2 F 2.48
F 0.0000 0.0000 0.0000  4 Nb 2.09

---

(4)
Here is a relaxed VGaCo crystal from Alexandria. Energies are from PBE.

Calculated values
Size of the total moment in μB/atom: 0.00
E_form in eV/atom: -0.22
Mass density in Mg/m³: 7.90
Density of states at the Fermi level in states/eV/atom: 1.252

Cell: 2.7751 2.7751 5.2792 Å, 105.24 105.24 90.00°
Last column: nearest neighbours and their distance in Å.
Sites, in units of the cell vectors:
Co 0.6149 0.6149 0.2298  4 V 2.48, 4 Ga 2.51, 4 Co 2.78
Ga 0.2747 0.2747 0.5493  4 Co 2.51, 4 V 2.68, 4 Ga 2.78
V 0.9605 0.9605 0.9209  4 Co 2.48, 4 Ga 2.68, 4 V 2.78

---

(5)
Here is a relaxed Pm4Ni crystal from Alexandria. Energies are from PBE.

Calculated values
Size of the total moment in μB/atom: 0.00
E_form in eV/atom: 0.01
E above lowest polymorph in kJ/mol of atoms: 9.62
Mass density in Mg/m³: 6.51
Density of states at the Fermi level in states/eV/atom: 2.260

Cell: 5.4611 5.4611 5.4611 Å, 90.00 90.00 90.00°
Last column: nearest neighbours and their distance in Å.
Sites, in units of the cell vectors:
Ni 0.5000 0.5000 0.5000  6 Pm 2.73
Pm 0.0000 0.0000 0.0000  12 Pm 3.86
Pm 0.5000 0.0000 0.5000  2 Ni 2.73
Pm 0.0000 0.5000 0.5000  2 Ni 2.73
Pm 0.5000 0.5000 0.0000  2 Ni 2.73

---

(6)
Here is a relaxed ZrZnRe2 crystal from Alexandria. Energies are from PBE.

Calculated values
Size of the total moment in μB/atom: 0.00
E_form in eV/atom: 0.34
Mass density in Mg/m³: 13.42
Density of states at the Fermi level in states/eV/atom: 1.074

Cell: 2.7084 2.7084 8.9253 Å, 90.00 90.00 90.00°
Last column: nearest neighbours and their distance in Å.
Sites, in units of the cell vectors:
Re 0.0000 0.0000 0.0209  4 Re 2.71, 4 Zn 2.80
Re 0.0000 0.0000 0.4791  4 Re 2.71, 4 Zn 2.80
Zn 0.5000 0.5000 0.2500  4 Zn 2.71, 8 Re 2.80
Zr 0.5000 0.5000 0.7500  4 Zr 2.71

---

(7)
Here is a relaxed PaAl4Hg crystal from Alexandria. Energies are from PBE.

Calculated values
Size of the total moment in μB/atom: 0.12
E_form in eV/atom: 0.02
Mass density in Mg/m³: 7.52
Density of states at the Fermi level in states/eV/atom: 1.408

Cell: 5.5240 5.5240 5.5240 Å, 60.00 60.00 60.00°
Last column: nearest neighbours and their distance in Å.
Sites, in units of the cell vectors:
Pa 0.2500 0.2500 0.2500  12 Al 3.24, 4 Hg 3.38
Hg 0.0000 0.0000 0.0000  12 Al 3.24, 4 Pa 3.38
Al 0.6246 0.6246 0.1262  6 Al 2.75-2.77
Al 0.6246 0.1262 0.6246  6 Al 2.75-2.77
Al 0.6246 0.6246 0.6246  6 Al 2.75-2.77
Al 0.1262 0.6246 0.6246  6 Al 2.75-2.77

---

(8)
Here is a relaxed CdAg2HS crystal from Alexandria. Energies are from PBE.

Calculated values
Size of the total moment in μB/atom: 0.00
Raw total energy in eV per atom: -2.243
Mass density in Mg/m³: 4.82
Density of states at the Fermi level in states/eV/atom: 0.279

Cell: 4.7861 5.4309 4.7861 Å, 90.00 90.00 90.00°
Last column: nearest neighbours and their distance in Å.
Sites, in units of the cell vectors:
H 0.5000 0.5000 0.5000  4 Cd 3.38, 8 Ag 3.62
S 0.0000 0.0000 0.0000  4 Ag 2.39
Ag 0.0000 0.0000 0.5000  2 S 2.39
Ag 0.5000 0.0000 0.0000  2 S 2.39
Cd 0.0000 0.5000 0.0000  2 S 2.72